Entry 1:
Density functional theory data (PBE) for a geometry-optimized MnSi2N structure.

Unit cell a=2.6675 b=3.0064 c=6.0191 alpha=90.00 beta=90.00 gamma=90.00
Space group Pmm2 (No. 25)
Inequivalent atoms, fractional coordinates:
Mn 0.0000 0.0000 0.0000 (multiplicity 1)
Si 0.5000 0.5000 0.2086 (multiplicity 1)
Si 0.5000 0.5000 0.6038 (multiplicity 1)
N 0.5000 0.0000 0.7601 (multiplicity 1)


Entry 2:
Density functional theory data (PBE) for a geometry-optimized Al2SiSe structure.

Unit cell a=3.5492 b=3.5492 c=21.0976 alpha=90.00 beta=90.00 gamma=120.00
Space group R3m (No. 160, hexagonal axes)
Inequivalent atoms, fractional coordinates:
Al 0.0000 0.0000 0.0000 (multiplicity 3)
Al 0.0000 0.0000 0.2414 (multiplicity 3)
Si 0.0000 0.0000 0.7427 (multiplicity 3)
Se 0.0000 0.0000 0.4989 (multiplicity 3)

Summary:
E above lowest polymorph: 403 meV per atom


Entry 3:
Density functional theory data (PBE) for a geometry-optimized Hf2Ta structure.

Unit cell a=3.5879 b=3.5879 c=9.7167 alpha=90.00 beta=90.00 gamma=90.00
Space group I4/mmm (No. 139)
Inequivalent atoms, fractional coordinates:
Hf 0.0000 0.0000 0.1570 (multiplicity 4)
Ta 0.0000 0.0000 0.5000 (multiplicity 2)

Summary:
energy of formation from the pure elements: 160 meV/atom


Entry 4:
Density functional theory data (PBE) for a geometry-optimized Sm3Er4S8 structure.

Unit cell a=11.1032 b=11.1098 c=7.8344 alpha=90.00 beta=134.81 gamma=90.00
Space group C2/m (No. 12)
Inequivalent atoms, fractional coordinates:
Sm 0.0000 0.0000 0.0000 (multiplicity 2)
Sm 0.2500 0.2500 0.0000 (multiplicity 4)
Er 0.0000 0.5000 0.0000 (multiplicity 2)
Er 0.0000 0.5000 0.5000 (multiplicity 2)
Er 0.2500 0.2500 0.5000 (multiplicity 4)
S 0.0000 0.2526 0.5000 (multiplicity 4)
S 0.0000 0.2543 0.0000 (multiplicity 4)
S 0.2425 0.5000 0.9937 (multiplicity 4)
S 0.2437 0.5000 0.4915 (multiplicity 4)


Entry 5:
Density functional theory data (PBE) for a geometry-optimized TeSeBrN2 structure.

Unit cell a=4.1960 b=4.1960 c=5.2924 alpha=90.00 beta=90.00 gamma=90.00
Space group P4/mmm (No. 123)
Inequivalent atoms, fractional coordinates:
Te 0.0000 0.0000 0.0000 (multiplicity 1)
Se 0.5000 0.5000 0.0000 (multiplicity 1)
Br 0.5000 0.5000 0.5000 (multiplicity 1)
N 0.0000 0.5000 0.5000 (multiplicity 2)

Summary:
E above lowest polymorph: 725 meV per atom


Entry 6:
Density functional theory data (PBE) for a geometry-optimized MgGa2Ag2 structure.

Unit cell a=9.3299 b=3.1070 c=7.1425 alpha=90.00 beta=118.33 gamma=90.00
Space group C2/m (No. 12)
Inequivalent atoms, fractional coordinates:
Mg 0.0000 0.0000 0.0000 (multiplicity 2)
Ga 0.1918 0.0000 0.7829 (multiplicity 4)
Ag 0.0956 0.5000 0.3844 (multiplicity 4)

Summary:
energy of formation from the pure elements: -72 meV/atom
E above lowest polymorph: 0 meV per atom


Entry 7:
Density functional theory data (PBE) for a geometry-optimized Tb8Hg2Ir structure.

Unit cell a=17.8690 b=5.2121 c=6.8608 alpha=90.00 beta=105.97 gamma=90.00
Space group C2/m (No. 12)
Inequivalent atoms, fractional coordinates:
Tb 0.0231 0.0000 0.2844 (multiplicity 4)
Tb 0.0878 0.5000 0.9305 (multiplicity 4)
Tb 0.1536 0.5000 0.4621 (multiplicity 4)
Tb 0.2012 0.0000 0.8110 (multiplicity 4)
Hg 0.1865 0.0000 0.2295 (multiplicity 4)
Ir 0.0000 0.5000 0.5000 (multiplicity 2)

Summary:
energy of formation from the pure elements: -347 meV/atom
E above lowest polymorph: 0 meV per atom


Entry 8:
Density functional theory data (PBE) for a geometry-optimized CsNa2Hg3 structure.

Unit cell a=12.7389 b=9.9405 c=6.8133 alpha=90.00 beta=90.00 gamma=90.00
Space group Cmcm (No. 63)
Inequivalent atoms, fractional coordinates:
Cs 0.0000 0.1765 0.2500 (multiplicity 4)
Na 0.2008 0.5000 0.0000 (multiplicity 8)
Hg 0.0000 0.4171 0.7500 (multiplicity 4)
Hg 0.1869 0.2230 0.7500 (multiplicity 8)

Summary:
energy of formation from the pure elements: -220 meV/atom
E above lowest polymorph: 0 meV per atom


Entry 9:
Density functional theory data (PBE) for a geometry-optimized HfNbTc4 structure.

Unit cell a=7.3591 b=7.3591 c=7.3591 alpha=90.00 beta=90.00 gamma=90.00
Space group F-43m (No. 216)
Inequivalent atoms, fractional coordinates:
Hf 0.0000 0.0000 0.0000 (multiplicity 4)
Nb 0.2500 0.2500 0.2500 (multiplicity 4)
Tc 0.1252 0.1252 0.6252 (multiplicity 16)

Summary:
energy of formation from the pure elements: -197 meV/atom


Entry 10:
Density functional theory data (PBE) for a geometry-optimized Cr2PdCl structure.

Unit cell a=6.7422 b=6.7422 c=6.6785 alpha=90.00 beta=90.00 gamma=90.00
Space group I-42d (No. 122)
Inequivalent atoms, fractional coordinates:
Cr 0.2344 0.2500 0.1250 (multiplicity 8)
Pd 0.0000 0.0000 0.5000 (multiplicity 4)
Cl 0.0000 0.0000 0.0000 (multiplicity 4)

Summary:
E above lowest polymorph: 0 meV per atom


Entry 11:
Density functional theory data (PBE) for a geometry-optimized HoPa2MnN5 structure.

Unit cell a=6.5261 b=6.5261 c=5.5785 alpha=90.00 beta=90.00 gamma=90.00
Space group P4/mbm (No. 127)
Inequivalent atoms, fractional coordinates:
Ho 0.0000 0.0000 0.0000 (multiplicity 2)
Pa 0.1709 0.3291 0.5000 (multiplicity 4)
Mn 0.0000 0.5000 0.0000 (multiplicity 2)
N 0.0000 0.0000 0.5000 (multiplicity 2)
N 0.1497 0.6497 0.2370 (multiplicity 8)


Entry 12:
Density functional theory data (PBE) for a geometry-optimized K2BeZn3F12 structure.

Unit cell a=7.2397 b=7.2397 c=16.8086 alpha=90.00 beta=90.00 gamma=120.00
Space group R-3m (No. 166, hexagonal axes)
Inequivalent atoms, fractional coordinates:
K 0.0000 0.0000 0.1381 (multiplicity 6)
Be 0.0000 0.0000 0.5000 (multiplicity 3)
Zn 0.0000 0.5000 0.0000 (multiplicity 9)
F 0.0669 0.5335 0.3695 (multiplicity 18)
F 0.0975 0.5488 0.1106 (multiplicity 18)


Entry 13:
Density functional theory data (PBE) for a geometry-optimized Tc2Se structure.

Unit cell a=2.9981 b=3.9815 c=7.6398 alpha=90.00 beta=90.00 gamma=90.00
Space group Immm (No. 71)
Inequivalent atoms, fractional coordinates:
Tc 0.0000 0.0000 0.1739 (multiplicity 4)
Se 0.0000 0.0000 0.5000 (multiplicity 2)

Summary:
E above lowest polymorph: 401 meV per atom


| no. | uncorrected energy (eV per atom) | size of the total moment (μB per formula unit) |
| --- | --- | --- |
| 1 | -7.261 | 0.35 |
| 2 | -3.995 | 0.00 |
| 3 | -10.427 | 0.00 |
| 4 | -6.396 | 0.00 |
| 5 | -2.904 | 1.27 |
| 6 | -2.742 | 0.00 |
| 7 | -4.575 | 0.00 |
| 8 | -0.953 | 0.00 |
| 9 | -10.445 | 0.00 |
| 10 | -6.064 | 8.36 |
| 11 | -9.522 | 3.00 |
| 12 | -4.092 | 2.01 |
| 13 | -7.769 | 0.00 |